Computed, not measured: LiMo2Pb after structural relaxation at the PBE-GGA level of DFT.

Values from the calculation:
SG: Cmmm
Energy of formation (eV/atom): 0.877
DOS at the Fermi energy (states/eV/cell): 3.6
Total magnetization (μB per cell): 0.00

Cell and atoms, written as POSCAR:
```
LiMo2Pb
1.0
-0.758 -0.976 -2.592
-0.713 -1.918 2.014
-8.464 4.119 0.926
Li Mo Pb
1 2 1
Cartesian
-7.084 1.642 0.405 Li
-8.421 4.098 0.921 Mo
-4.275 2.081 0.468 Mo
-2.852 -0.417 -0.057 Pb
```

Computed, not measured: Co2TeW after structural relaxation at the PBE-GGA level of DFT.

Values from the calculation:
SG: Fmmm
DOS at the Fermi energy (states/eV/cell): 4.8
Formation energy from raw total energies (eV per atom): 0.55
Total magnetization (μB per cell): 0.60

Cell and atoms, written as POSCAR:
```
Co2TeW
1.0
4.665 0.000 -0.018
1.359 4.462 0.018
-3.001 -2.246 2.767
Co Te W
2 1 1
Cartesian
0.000 0.000 0.000 Co
3.012 2.231 0.000 Co
2.338 -0.007 1.374 Te
0.685 2.224 1.392 W
```